[1]
## La8Pm2Tm (PBE)

Data for a geometry-optimized La8Pm2Tm structure.

Properties
Its spin magnetization is 0.000 μB per atom. Its energy of formation is 0.16 eV/atom. The mass density is 6.40 g/cm3.

Unit cell a=5.2757 b=5.2757 c=14.6403 alpha=90.00 beta=90.00 gamma=90.00
With the nearest neighbours (Å) after each atom.
Space group P4/mmm (No. 123)
Unique sites:
La: 0.0000 0.0000 0.1790 (multiplicity 2)  8 La 3.68-3.72, 4 Pm 3.73
La: 0.0000 0.5000 0.0000 (multiplicity 2)  8 La 3.72-3.73, 4 Pm 3.76
La: 0.0000 0.5000 0.3548 (multiplicity 4)  2 Tm 3.39, 2 Pm 3.65, 6 La 3.68-3.73
Pm: 0.5000 0.5000 0.1829 (multiplicity 2)  12 La 3.65-3.76
Tm: 0.5000 0.5000 0.5000 (multiplicity 1)  8 La 3.39

***

[2]
## P2RuSe (PBE)

Data for a geometry-optimized P2RuSe structure.

Properties
Its spin magnetization is 0.000 μB per atom. The mass density is 6.40 g/cm3. The calculated total energy comes out at -5.798 eV per atom.

Unit cell a=3.2787 b=3.2787 c=20.2432 alpha=90.00 beta=90.00 gamma=120.00
With the nearest neighbours (Å) after each atom.
Space group R-3m (No. 166, hexagonal axes)
Unique sites:
P: 0.0000 0.0000 0.2431 (multiplicity 6)  3 Ru 2.45, 3 Se 2.63
Ru: 0.0000 0.0000 0.5000 (multiplicity 3)  6 P 2.45
Se: 0.0000 0.0000 0.0000 (multiplicity 3)  6 P 2.63

***

[3]
## RbBa2BiO (PBE)

Data for a geometry-optimized RbBa2BiO structure.

Properties
Its spin magnetization is 0.000 μB per atom. The mass density is 5.72 g/cm3. The calculated total energy comes out at -4.081 eV per atom.

Unit cell a=5.5380 b=5.5380 c=5.5370 alpha=90.00 beta=90.00 gamma=90.00
With the nearest neighbours (Å) after each atom.
Space group P4/mmm (No. 123)
Unique sites:
Rb: 0.0000 0.0000 0.0000 (multiplicity 1)  2 O 2.77
Ba: 0.0000 0.5000 0.5000 (multiplicity 2)  2 O 2.77
Bi: 0.5000 0.5000 0.0000 (multiplicity 1)  8 Ba 3.92, 4 Rb 3.92
O: 0.0000 0.0000 0.5000 (multiplicity 1)  2 Rb 2.77, 4 Ba 2.77

***

[4]
## TaFe2Hg (PBE)

Data for a geometry-optimized TaFe2Hg structure.

Properties
Its spin magnetization is 0.884 μB per atom. Its energy of formation is 0.29 eV/atom. The mass density is 13.42 g/cm3.

Unit cell a=9.5814 b=3.1163 c=4.4108 alpha=90.00 beta=112.06 gamma=90.00
With the nearest neighbours (Å) after each atom.
Space group Cm (No. 8)
Unique sites:
Ta: 0.0000 0.0000 0.0000 (multiplicity 2)  7 Fe 2.68-2.87, 3 Hg 2.93
Fe: 0.0336 0.5000 0.5382 (multiplicity 2)  2 Fe 2.46, 4 Ta 2.68-2.76
Fe: 0.2459 0.0000 0.7766 (multiplicity 2)  2 Fe 2.46, 4 Hg 2.70-2.73, 2 Ta 2.74
Hg: 0.2763 0.5000 0.3057 (multiplicity 2)  7 Fe 2.70-2.87, 4 Ta 2.93-3.01

***

[5]
## Ac3Hg2Au (PBE)

Data for a geometry-optimized Ac3Hg2Au structure.

Properties
Its spin magnetization is 0.000 μB per atom. Its energy of formation is -0.46 eV/atom. The mass density is 10.04 g/cm3.

Unit cell a=15.7860 b=6.6571 c=8.3105 alpha=90.00 beta=104.37 gamma=90.00
With the nearest neighbours (Å) after each atom.
Space group C2/c (No. 15)
Unique sites:
Ac: 0.0000 0.0496 0.2500 (multiplicity 4)  2 Au 3.30-3.36, 4 Hg 3.40-3.48
Ac: 0.1532 0.4411 0.0624 (multiplicity 8)  2 Au 3.08-3.27, 4 Hg 3.31-3.41
Hg: 0.1756 0.0657 0.5995 (multiplicity 8)  6 Ac 3.31-3.48
Au: 0.0000 0.4460 0.7500 (multiplicity 4)  6 Ac 3.08-3.36

***

[6]
## Pr2CdNi3As4 (PBE)

Data for a geometry-optimized Pr2CdNi3As4 structure.

Properties
Its spin magnetization is 0.000 μB per atom. Its energy of formation is -0.68 eV/atom. The mass density is 7.76 g/cm3.

Unit cell a=4.2953 b=4.2953 c=10.0866 alpha=90.00 beta=90.00 gamma=90.00
With the nearest neighbours (Å) after each atom.
Space group P-4m2 (No. 115)
Unique sites:
Pr: 0.0000 0.5000 0.2337 (multiplicity 2)  8 As 3.19-3.24, 7 Ni 3.29-3.45, 2 Cd 3.44
Cd: 0.0000 0.0000 0.5000 (multiplicity 1)  4 As 2.66
Ni: 0.0000 0.5000 0.8919 (multiplicity 2)  5 As 2.38-2.41
Ni: 0.5000 0.5000 0.5000 (multiplicity 1)  4 As 2.66
As: 0.0000 0.0000 0.0000 (multiplicity 1)  4 Ni 2.41
As: 0.0000 0.5000 0.6558 (multiplicity 2)  3 Ni 2.38-2.66, 2 Cd 2.66
As: 0.5000 0.5000 0.0000 (multiplicity 1)  4 Ni 2.41

***

[7]
## Rb3Ca2RuO6 (PBE)

Data for a geometry-optimized Rb3Ca2RuO6 structure.

Properties
Its spin magnetization is 0.250 μB per atom. The mass density is 4.55 g/cm3. The calculated total energy comes out at -5.598 eV per atom.

Unit cell a=5.9275 b=10.2601 c=6.7005 alpha=90.00 beta=107.09 gamma=90.00
With the nearest neighbours (Å) after each atom.
Space group C2/m (No. 12)
Unique sites:
Rb: 0.0000 0.0000 0.0000 (multiplicity 2)  6 O 2.79-3.05
Rb: 0.0000 0.3320 0.0000 (multiplicity 4)  6 O 2.79-3.05
Ca: 0.0000 0.1665 0.5000 (multiplicity 4)  6 O 2.39-2.40
Ru: 0.0000 0.5000 0.5000 (multiplicity 2)  6 O 2.04-2.05
O: 0.2026 0.3558 0.6740 (multiplicity 8)  1 Ru 2.04
O: 0.2298 0.5000 0.3236 (multiplicity 4)  1 Ru 2.05

***

[8]
## CsNaU2Br8 (PBE)

Data for a geometry-optimized CsNaU2Br8 structure.

Properties
Its spin magnetization is 0.500 μB per atom. The mass density is 4.62 g/cm3. The calculated total energy comes out at -4.550 eV per atom.

Unit cell a=7.6576 b=7.6576 c=9.0035 alpha=90.00 beta=90.00 gamma=120.00
With the nearest neighbours (Å) after each atom.
Space group P-3 (No. 147)
Unique sites:
Cs: 0.0000 0.0000 0.0000 (multiplicity 1)  12 Br 4.07-4.52, 2 Na 4.50
Na: 0.0000 0.0000 0.5000 (multiplicity 1)  6 Br 2.94
U: 0.3333 0.6667 0.4158 (multiplicity 2)  7 Br 2.81-3.05
Br: 0.0638 0.3671 0.6517 (multiplicity 6)  1 Na 2.94, 2 U 2.98-3.05
Br: 0.3333 0.6667 0.1036 (multiplicity 2)  1 U 2.81

***

[9]
## AcNdGaSb (PBE)

Data for a geometry-optimized AcNdGaSb structure.

Properties
Its spin magnetization is 0.000 μB per atom. The mass density is 7.74 g/cm3. The calculated total energy comes out at -4.597 eV per atom.

Unit cell a=7.8460 b=7.8460 c=7.8460 alpha=90.00 beta=90.00 gamma=90.00
With the nearest neighbours (Å) after each atom.
Space group F-43m (No. 216)
Unique sites:
Ac: 0.0000 0.0000 0.0000 (multiplicity 4)  4 Sb 3.40, 4 Ga 3.40
Nd: 0.0000 0.0000 0.5000 (multiplicity 4)  4 Sb 3.40, 4 Ga 3.40
Ga: 0.2500 0.2500 0.7500 (multiplicity 4)  4 Ac 3.40, 4 Nd 3.40
Sb: 0.2500 0.2500 0.2500 (multiplicity 4)  4 Ac 3.40, 4 Nd 3.40

***

[10]
## NaEuPd (PBE)

Data for a geometry-optimized NaEuPd structure.

Properties
Its spin magnetization is 2.424 μB per atom. Its energy of formation is -0.24 eV/atom. The mass density is 5.54 g/cm3.

Unit cell a=3.6158 b=3.6158 c=12.9122 alpha=90.00 beta=90.00 gamma=90.00
With the nearest neighbours (Å) after each atom.
Space group I4mm (No. 107)
Unique sites:
Na: 0.0000 0.0000 0.0000 (multiplicity 2)  4 Pd 3.12, 1 Eu 3.39
Eu: 0.0000 0.0000 0.2622 (multiplicity 2)  4 Pd 3.01
Pd: 0.0000 0.0000 0.6390 (multiplicity 2)  4 Eu 3.01, 4 Na 3.12

***

[11]
## Th3Ge4Pd2 (PBE)

Data for a geometry-optimized Th3Ge4Pd2 structure.

Properties
Its spin magnetization is 0.000 μB per atom. Its energy of formation is -0.86 eV/atom. The mass density is 9.99 g/cm3.

Unit cell a=11.0325 b=4.4112 c=8.4278 alpha=90.00 beta=103.47 gamma=90.00
With the nearest neighbours (Å) after each atom.
Space group C2/m (No. 12)
Unique sites:
Th: 0.0000 0.0000 0.0000 (multiplicity 2)  8 Ge 3.22-3.24, 4 Pd 3.24
Th: 0.1634 0.5000 0.6686 (multiplicity 4)  4 Pd 3.11-3.31, 8 Ge 3.17-3.30
Ge: 0.0650 0.0000 0.3953 (multiplicity 4)  2 Pd 2.50, 1 Ge 2.52
Ge: 0.2213 0.5000 0.0574 (multiplicity 4)  1 Pd 2.49, 2 Ge 2.55
Pd: 0.1067 0.5000 0.2791 (multiplicity 4)  3 Ge 2.49-2.50

***

[12]
## AcPmSc (PBE)

Data for a geometry-optimized AcPmSc structure.

Properties
Its spin magnetization is 0.000 μB per atom. Its energy of formation is 0.10 eV/atom. The mass density is 6.76 g/cm3.

Unit cell a=3.7367 b=3.7367 c=14.6812 alpha=90.00 beta=90.00 gamma=90.00
With the nearest neighbours (Å) after each atom.
Space group I4mm (No. 107)
Unique sites:
Ac: 0.0000 0.0000 0.0000 (multiplicity 2)  4 Sc 3.59, 4 Ac 3.74, 4 Pm 3.79
Pm: 0.0000 0.0000 0.3145 (multiplicity 2)  4 Sc 3.43, 4 Pm 3.74, 4 Ac 3.79
Sc: 0.0000 0.0000 0.6654 (multiplicity 2)  4 Pm 3.43, 4 Ac 3.59, 4 Sc 3.74

***

[13]
## Nd3HoTh2P6 (PBE)

Data for a geometry-optimized Nd3HoTh2P6 structure.

Properties
Its spin magnetization is 0.000 μB per atom. Its energy of formation is -1.57 eV/atom. The mass density is 6.92 g/cm3.

Unit cell a=18.0244 b=4.1366 c=8.2599 alpha=90.00 beta=103.44 gamma=90.00
With the nearest neighbours (Å) after each atom.
Space group C2/m (No. 12)
Unique sites:
Nd: 0.0000 0.0000 0.0000 (multiplicity 2)  6 P 2.94-2.97
Nd: 0.1660 0.5000 0.3344 (multiplicity 4)  6 P 2.92-2.99
Ho: 0.0000 0.0000 0.5000 (multiplicity 2)  6 P 2.87-2.88
Th: 0.1646 0.5000 0.8298 (multiplicity 4)  6 P 2.88-2.94
P: 0.0006 0.5000 0.7428 (multiplicity 4)  1 Th 2.88, 2 Ho 2.88, 3 Nd 2.92-2.97
P: 0.1637 0.0000 0.5842 (multiplicity 4)  1 Ho 2.87, 2 Th 2.89, 3 Nd 2.93-2.99
P: 0.1680 0.0000 0.0806 (multiplicity 4)  3 Th 2.92-2.94, 3 Nd 2.94-2.95

***

[14]
## La3Pm4Er (PBE)

Data for a geometry-optimized La3Pm4Er structure.

Properties
Its spin magnetization is 0.002 μB per atom. Its energy of formation is 0.00 eV/atom. The mass density is 6.95 g/cm3.

Unit cell a=11.8664 b=6.3580 c=7.3749 alpha=90.00 beta=90.00 gamma=90.00
With the nearest neighbours (Å) after each atom.
Space group Pmn2_1 (No. 31)
Unique sites:
La: 0.0000 0.1679 0.0000 (multiplicity 2)  4 La 3.63-3.67, 6 Pm 3.65-3.70, 2 Er 3.67-3.69
La: 0.2477 0.9980 0.7511 (multiplicity 4)  1 Er 3.62, 4 La 3.63-3.69, 7 Pm 3.63-3.69
Pm: 0.0000 0.1672 0.5012 (multiplicity 2)  6 La 3.63-3.70, 4 Pm 3.63-3.69, 2 Er 3.66-3.67
Pm: 0.0000 0.6686 0.2501 (multiplicity 2)  6 Pm 3.65-3.69, 4 La 3.67-3.68, 2 Er 3.68-3.70
Pm: 0.2493 0.4991 0.4998 (multiplicity 4)  5 Pm 3.63-3.69, 2 Er 3.64-3.66, 5 La 3.65-3.69
Er: 0.0000 0.6667 0.7487 (multiplicity 2)  4 La 3.62-3.69, 8 Pm 3.64-3.70

***

[15]
## Na4U3TaN8 (PBE)

Data for a geometry-optimized Na4U3TaN8 structure.

Properties
Its spin magnetization is 0.194 μB per atom. The mass density is 7.95 g/cm3. The calculated total energy comes out at -8.337 eV per atom.

Unit cell a=6.8120 b=6.8120 c=17.1374 alpha=90.00 beta=90.00 gamma=120.00
With the nearest neighbours (Å) after each atom.
Space group R-3m (No. 166, hexagonal axes)
Unique sites:
Na: 0.0000 0.0000 0.0000 (multiplicity 3)  6 N 2.72
Na: 0.0000 0.5000 0.0000 (multiplicity 9)  6 N 2.64-2.65
U: 0.0000 0.5000 0.5000 (multiplicity 9)  6 N 2.24-2.26
Ta: 0.0000 0.0000 0.5000 (multiplicity 3)  6 N 2.17
N: 0.0000 0.0000 0.2294 (multiplicity 6)  3 U 2.24
N: 0.0116 0.5058 0.2284 (multiplicity 18)  1 Ta 2.17, 2 U 2.26

***

[16]
## SrY2PtSe (PBE)

Data for a geometry-optimized SrY2PtSe structure.

Properties
Its spin magnetization is 0.000 μB per atom. The mass density is 6.06 g/cm3. The calculated total energy comes out at -5.221 eV per atom.

Unit cell a=5.4051 b=5.4051 c=5.0616 alpha=90.00 beta=90.00 gamma=90.00
With the nearest neighbours (Å) after each atom.
Space group P4/mmm (No. 123)
Unique sites:
Sr: 0.0000 0.0000 0.0000 (multiplicity 1)  8 Y 3.70, 4 Pt 3.82
Y: 0.0000 0.5000 0.5000 (multiplicity 2)  2 Se 2.70
Pt: 0.5000 0.5000 0.0000 (multiplicity 1)  2 Se 2.53
Se: 0.5000 0.5000 0.5000 (multiplicity 1)  2 Pt 2.53, 4 Y 2.70

***

[17]
## NbOs2W2 (PBE)

Data for a geometry-optimized NbOs2W2 structure.

Properties
Its spin magnetization is 0.000 μB per atom. Its energy of formation is 0.13 eV/atom. The mass density is 16.96 g/cm3.

Unit cell a=7.5451 b=7.5451 c=2.8921 alpha=90.00 beta=90.00 gamma=90.00
With the nearest neighbours (Å) after each atom.
Space group P4/mbm (No. 127)
Unique sites:
Nb: 0.0000 0.0000 0.0000 (multiplicity 2)  2 Nb 2.89, 4 Os 2.95, 8 W 3.17
Os: 0.1329 0.3671 0.0000 (multiplicity 4)  6 W 2.60-2.68, 3 Os 2.84-2.89
W: 0.1648 0.6648 0.5000 (multiplicity 4)  6 Os 2.60-2.68, 2 W 2.89

***

[18]
## InCu3As (PBE)

Data for a geometry-optimized InCu3As structure.

Properties
Its spin magnetization is 0.000 μB per atom. Its energy of formation is 1.02 eV/atom. The mass density is 5.79 g/cm3.

Unit cell a=4.7781 b=4.7781 c=4.7781 alpha=90.00 beta=90.00 gamma=90.00
With the nearest neighbours (Å) after each atom.
Space group Pm-3m (No. 221)
Unique sites:
In: 0.0000 0.0000 0.0000 (multiplicity 1)  6 Cu 2.39
Cu: 0.0000 0.0000 0.5000 (multiplicity 3)  2 In 2.39
As: 0.5000 0.5000 0.5000 (multiplicity 1)  12 Cu 3.38

***

[19]
## CeTlAuSe3 (PBE)

Data for a geometry-optimized CeTlAuSe3 structure.

Properties
Its spin magnetization is 0.000 μB per atom. The mass density is 7.71 g/cm3. The calculated total energy comes out at -4.649 eV per atom.

Unit cell a=4.2337 b=14.5729 c=10.8738 alpha=90.00 beta=90.00 gamma=90.00
With the nearest neighbours (Å) after each atom.
Space group Cmcm (No. 63)
Unique sites:
Ce: 0.0000 0.0000 0.0000 (multiplicity 4)  6 Se 2.90-2.91
Tl: 0.0000 0.2460 0.2500 (multiplicity 4)  8 Se 3.40-3.66, 2 Au 3.64
Au: 0.0000 0.4573 0.7500 (multiplicity 4)  4 Se 2.59-2.70
Se: 0.0000 0.0718 0.7500 (multiplicity 4)  2 Au 2.70, 2 Ce 2.91
Se: 0.0000 0.3677 0.5444 (multiplicity 8)  1 Au 2.59

***

[20]
## LaFe4Co9 (PBE)

Data for a geometry-optimized LaFe4Co9 structure.

Properties
Its spin magnetization is 1.707 μB per atom. Its energy of formation is -0.03 eV/atom. The mass density is 8.10 g/cm3.

Unit cell a=7.9912 b=7.9912 c=11.4655 alpha=90.00 beta=90.00 gamma=90.00
With the nearest neighbours (Å) after each atom.
Space group I4/mcm (No. 140)
Unique sites:
La: 0.0000 0.0000 0.2500 (multiplicity 4)  8 Fe 3.30, 16 Co 3.31-3.33
Fe: 0.1782 0.3218 0.1189 (multiplicity 16)  9 Co 2.41-2.54
Co: 0.0000 0.5000 0.0000 (multiplicity 4)  8 Co 2.43, 4 Fe 2.43
Co: 0.0621 0.2024 0.5000 (multiplicity 16)  6 Co 2.39-2.66, 4 Fe 2.49-2.54
Co: 0.1170 0.3830 0.3226 (multiplicity 16)  4 Fe 2.41-2.50, 6 Co 2.43-2.65